VASP calculation (GGA-PBE) on crystalline Rb2NaCl6F at its relaxed geometry.

Structure (extended XYZ):
```
10
Lattice="-4.027 4.027 4.547 4.027 -4.027 4.547 4.027 4.027 -4.547" Properties=species:S:1:pos:R:3 pbc="T T T"
Rb 4.027 0.000 2.273
Rb 0.000 4.027 2.273
Na 0.000 0.000 0.000
Cl 1.882 1.882 0.000
Cl 2.145 -2.145 4.547
Cl 0.000 0.000 2.584
Cl 0.000 0.000 6.510
Cl -2.145 2.145 4.547
Cl 2.145 2.145 4.547
F 0.000 0.000 4.547
```

Computed properties:
Density   2.4 Mg/m³
Space-group type   I4/mmm (139)
Magnetization   2.00 Bohr magnetons per cell

=====

VASP calculation (GGA-PBE) on crystalline Zr2HgTe2 at its relaxed geometry.

Structure (extended XYZ):
```
10
Lattice="5.104 0.000 0.000 0.000 5.104 0.000 0.000 0.000 11.596" Properties=species:S:1:pos:R:3 pbc="T T T"
Zr 0.000 0.000 1.481
Zr 0.000 0.000 10.116
Zr 2.552 2.552 4.318
Zr 2.552 2.552 7.279
Hg 0.000 0.000 5.798
Hg 2.552 2.552 0.000
Te 0.000 2.552 2.899
Te 0.000 2.552 8.697
Te 2.552 0.000 2.899
Te 2.552 0.000 8.697
```

Computed properties:
E above lowest polymorph   483.6 meV per atom
Density   7.0 Mg/m³
Space-group type   I4/mmm (139)
Magnetization   0.00 Bohr magnetons per cell

=====

VASP calculation (GGA-PBE) on crystalline ScMn10Fe2 at its relaxed geometry.

Structure (extended XYZ):
```
26
Lattice="4.117 -4.711 0.000 4.117 4.711 0.000 0.000 0.000 7.956" Properties=species:S:1:pos:R:3 pbc="T T T"
Sc 4.117 3.536 5.967
Sc 4.117 -3.536 1.989
Mn 2.151 1.224 5.967
Mn 4.117 3.204 0.812
Mn 4.117 3.204 3.166
Mn 1.813 0.000 0.000
Mn 1.813 0.000 3.978
Mn 3.017 1.103 1.989
Mn 2.151 -1.224 1.989
Mn 4.117 0.994 4.536
Mn 4.117 0.994 7.397
Mn 3.017 -1.103 5.967
Mn 5.216 1.103 1.989
Mn 4.117 -0.994 0.558
Mn 4.117 -0.994 3.419
Mn 6.082 1.224 5.967
Mn 5.216 -1.103 5.967
Mn 6.421 0.000 0.000
Mn 6.421 0.000 3.978
Mn 4.117 -3.204 4.790
Mn 4.117 -3.204 7.144
Mn 6.082 -1.224 1.989
Fe 2.058 2.356 0.000
Fe 2.058 2.356 3.978
Fe 2.058 -2.356 0.000
Fe 2.058 -2.356 3.978
```

Computed properties:
Density   7.6 Mg/m³
Space-group type   Cmcm (63)
E_form   -0.10 eV per formula unit
Magnetization   0.01 Bohr magnetons per cell

=====

VASP calculation (GGA-PBE) on crystalline Ac2CeThSb4 at its relaxed geometry.

Structure (extended XYZ):
```
8
Lattice="8.040 0.000 0.000 0.000 4.643 0.000 -2.679 0.000 7.618" Properties=species:S:1:pos:R:3 pbc="T T T"
Ac 0.000 0.000 0.000
Ac 4.020 2.321 0.000
Ce -1.339 2.321 3.809
Th 2.680 0.000 3.809
Sb 0.008 0.000 5.580
Sb 1.345 2.321 2.038
Sb 4.016 2.321 5.580
Sb 5.353 0.000 2.038
```

Computed properties:
Density   7.7 Mg/m³
Space-group type   P2/m (10)
Magnetization   0.93 Bohr magnetons per cell

=====

VASP calculation (GGA-PBE) on crystalline La6Sn2N at its relaxed geometry.

Structure (extended XYZ):
```
9
Lattice="8.073 -3.550 0.000 8.073 3.550 0.000 -1.650 0.000 4.903" Properties=species:S:1:pos:R:3 pbc="T T T"
La 5.212 1.963 1.761
La 8.073 1.926 0.000
La 9.285 1.963 3.141
La 5.212 -1.963 1.761
La 8.073 -1.926 0.000
La 9.285 -1.963 3.141
Sn 3.950 0.000 4.065
Sn 10.547 0.000 0.838
N -0.825 0.000 2.451
```

Computed properties:
E above lowest polymorph   340.1 meV per atom
Density   6.4 Mg/m³
Space-group type   C2/m (12)
Magnetization   0.00 Bohr magnetons per cell

=====

VASP calculation (GGA-PBE) on crystalline FeC2I at its relaxed geometry.

Structure (extended XYZ):
```
16
Lattice="5.646 0.000 0.000 0.000 5.646 0.000 0.000 0.000 5.646" Properties=species:S:1:pos:R:3 pbc="T T T"
Fe 0.000 0.000 0.000
Fe 0.000 2.823 2.823
Fe 2.823 0.000 2.823
Fe 2.823 2.823 0.000
C 1.412 1.412 1.412
C 1.412 1.412 4.235
C 1.412 4.235 1.412
C 1.412 4.235 4.235
C 4.235 1.412 1.412
C 4.235 1.412 4.235
C 4.235 4.235 1.412
C 4.235 4.235 4.235
I 0.000 0.000 2.823
I 0.000 2.823 0.000
I 2.823 0.000 0.000
I 2.823 2.823 2.823
```

Computed properties:
E above lowest polymorph   1291.1 meV per atom
Density   7.6 Mg/m³
Space-group type   Fm-3m (225)
Magnetization   0.00 Bohr magnetons per cell

=====

VASP calculation (GGA-PBE) on crystalline VReOs3 at its relaxed geometry.

Structure (extended XYZ):
```
5
Lattice="4.403 0.000 0.000 0.000 4.403 0.000 0.000 0.000 4.403" Properties=species:S:1:pos:R:3 pbc="T T T"
V 0.000 0.000 0.000
Re 2.201 2.201 2.201
Os 0.000 0.000 2.201
Os 0.000 2.201 0.000
Os 2.201 0.000 0.000
```

Computed properties:
E above lowest polymorph   2045.7 meV per atom
Density   15.7 Mg/m³
Space-group type   Pm-3m (221)
E_form   9.78 eV per formula unit
Magnetization   0.46 Bohr magnetons per cell

=====

VASP calculation (GGA-PBE) on crystalline Cd3PdS at its relaxed geometry.

Structure (extended XYZ):
```
5
Lattice="5.134 0.000 0.000 0.000 5.134 0.000 0.000 0.000 5.134" Properties=species:S:1:pos:R:3 pbc="T T T"
Cd 0.000 0.000 2.567
Cd 0.000 2.567 0.000
Cd 2.567 0.000 0.000
Pd 0.000 0.000 0.000
S 2.567 2.567 2.567
```

Computed properties:
E above lowest polymorph   0.0 meV per atom
Density   5.8 Mg/m³
Space-group type   Pm-3m (221)
Magnetization   0.00 Bohr magnetons per cell

=====

Number 1: DFT total energy -24.92 eV for the cell shown. Number 2: DFT total energy -48.56 eV for the cell shown. Number 3: DFT total energy -230.10 eV for the cell shown. Number 4: DFT total energy -46.87 eV for the cell shown. Number 5: DFT total energy -49.15 eV for the cell shown. Number 6: DFT total energy -70.04 eV for the cell shown. Number 7: DFT total energy -45.48 eV for the cell shown. Number 8: DFT total energy -10.86 eV for the cell shown.